Entry 1:
An optimized crystal structure of ScNb2Zn. Source: the Alexandria database, functional PBE.

Properties
Total magnetic moment in Bohr magnetons per cell: 0.0
ΔE_f in eV/atom: 0.417
Raw total energy in eV/f.u.: -26.08

```
ScNb2Zn
1.0
7.612 0.000 0.000
0.000 7.612 0.000
3.806 3.806 2.674
Sc Nb Zn
2 4 2
Direct
0.500 0.500 0.000
0.250 0.750 0.500
0.652 0.125 0.250
0.098 0.625 0.250
0.375 0.348 0.750
0.875 0.902 0.750
0.000 0.000 0.000
0.750 0.250 0.500
```

Entry 2:
An optimized crystal structure of Ni2HPdRh. Source: the Alexandria database, functional PBE.

Properties
Total magnetic moment in Bohr magnetons per cell: 3.4
Raw total energy in eV/f.u.: -18.15

```
Ni2HPdRh
1.0
4.591 0.000 0.000
0.000 4.827 0.000
0.000 0.000 4.591
Ni Rh Pd H
2 1 1 1
Direct
0.000 0.000 0.500
0.500 0.000 0.000
0.000 0.500 0.000
0.000 0.000 0.000
0.500 0.500 0.500
```

Entry 3:
An optimized crystal structure of KBaN3. Source: the Alexandria database, functional PBE.

Properties
Total magnetic moment in Bohr magnetons per cell: 6.0
Formation energy (no corrections) in meV per atom: 1765
Raw total energy in eV/f.u.: -19.17

```
KBaN3
1.0
-3.118 2.187 -2.885
-0.144 -3.880 -2.785
-3.617 -1.731 2.598
K Ba N
1 1 3
Direct
0.000 0.000 0.000
0.500 0.500 0.500
0.000 0.500 0.000
0.000 0.000 0.500
0.500 0.000 0.000
```

Entry 4:
An optimized crystal structure of RbTl2IrBr6. Source: the Alexandria database, functional PBE.

Properties
Total magnetic moment in Bohr magnetons per cell: 0.0
Formation energy (no corrections) in meV per atom: -761
Raw total energy in eV/f.u.: -32.21

```
RbTl2IrBr6
1.0
7.432 0.000 0.000
0.000 9.335 0.000
0.000 0.000 11.302
Rb Tl Ir Br
2 4 2 12
Direct
0.000 0.668 0.500
0.500 0.332 0.000
0.500 0.838 0.192
0.000 0.162 0.692
0.500 0.838 0.808
0.000 0.162 0.308
0.500 0.182 0.500
0.000 0.818 0.000
0.500 0.181 0.278
0.500 0.181 0.722
0.000 0.819 0.222
0.000 0.819 0.778
0.261 0.990 0.500
0.739 0.990 0.500
0.258 0.369 0.500
0.742 0.369 0.500
0.758 0.631 0.000
0.242 0.631 0.000
0.239 0.010 0.000
0.761 0.010 0.000
```